# 1
## Pm3Y6Tm2Mg (PBE-GGA)

Data for crystalline Pm3Y6Tm2Mg at its relaxed geometry.

abc: 6.186 6.186 11.717
angles: 95.08 95.08 120.03
Element x y z (fractional)
1 Pm 0.000 0.000 0.000
2 Pm 0.334 0.666 0.000
3 Pm 0.666 0.334 0.000
4 Y 0.087 0.419 0.256
5 Y 0.248 0.248 0.745
6 Y 0.419 0.087 0.256
7 Y 0.581 0.913 0.744
8 Y 0.752 0.752 0.255
9 Y 0.913 0.581 0.744
10 Tm 0.166 0.834 0.500
11 Tm 0.834 0.166 0.500
12 Mg 0.500 0.500 0.500

Properties
Energy = -5.263 eV/atom
Magnetic moment = 0.0 μB/f.u.

---

# 2
## Li2RePS (PBE-GGA)

Data for crystalline Li2RePS at its relaxed geometry.

abc: 4.055 4.055 5.187
angles: 90.00 90.00 90.00
Element x y z (fractional)
1 Li 0.000 0.500 0.000
2 Li 0.500 0.000 0.000
3 Re 0.000 0.000 0.500
4 P 0.500 0.500 0.500
5 S 0.500 0.500 0.000

Properties
Formation energy (no corrections) = 3.11 eV/f.u.
Magnetic moment = 2.8 μB/f.u.

---

# 3
## CsScTe2 (PBE-GGA)

Data for crystalline CsScTe2 at its relaxed geometry.

abc: 7.829 7.829 8.300
angles: 117.98 117.98 90.18
Element x y z (fractional)
1 Cs 0.123 0.877 0.500
2 Cs 0.877 0.123 0.000
3 Sc 0.331 0.581 0.000
4 Sc 0.581 0.331 0.500
5 Te 0.291 0.444 0.603
6 Te 0.444 0.291 0.103
7 Te 0.585 0.939 0.398
8 Te 0.939 0.585 0.898

Properties
Formation energy (no corrections) = -4.55 eV/f.u.
Magnetic moment = 0.0 μB/f.u.

---

# 4
## KZr2Pd (PBE-GGA)

Data for crystalline KZr2Pd at its relaxed geometry.

abc: 12.595 12.595 12.595
angles: 22.35 22.35 22.35
Element x y z (fractional)
1 K 0.215 0.215 0.215
2 K 0.785 0.785 0.785
3 Zr 0.043 0.043 0.043
4 Zr 0.324 0.324 0.324
5 Zr 0.676 0.676 0.676
6 Zr 0.957 0.957 0.957
7 Pd 0.394 0.394 0.394
8 Pd 0.606 0.606 0.606

Properties
Polymorph energy (0 for the lowest one) = 0.1014 eV/atom
Magnetic moment = 0.0 μB/f.u.